[1]
VASP calculation (GGA-PBE) on La5Ce3Se8 after structural relaxation.

Structure (POSCAR):
```
La5Ce3Se8
1.0
4.2714 2.4661 6.9971
-4.2714 2.4661 6.9971
0.0000 -4.9322 6.9971
La Ce Se
5 3 8
Cartesian
0.0000 0.0000 0.0000 La
-2.1357 -1.2330 6.9971 La
-2.1357 1.2330 13.9941 La
0.0000 2.4661 6.9970 La
0.0000 0.0000 10.4956 La
-4.2714 0.0000 10.4956 Ce
-2.1357 1.2330 3.4985 Ce
2.1357 1.2330 3.4985 Ce
-2.1563 -1.2449 12.2114 Se
0.0000 0.0000 5.1988 Se
0.0000 -2.4898 8.7797 Se
-2.1563 1.2449 8.7797 Se
2.1563 -1.2449 12.2114 Se
0.0000 2.4898 12.2114 Se
0.0000 0.0000 15.7924 Se
2.1563 1.2449 8.7797 Se
```

Results
E_form (uncorrected) = -1.9301 eV/atom
SG = R-3m (166)
Calculated volume = 442.23 Å³/cell
N(E_F) = 23.5 states/eV per cell

---

[2]
VASP calculation (GGA-PBE) on LaCe2Se4 after structural relaxation.

Structure (POSCAR):
```
LaCe2Se4
1.0
2.0742 -7.0103 0.0000
2.0742 7.0103 0.0000
0.0000 0.0000 14.1238
La Ce Se
2 4 8
Cartesian
2.0742 5.3285 10.5929 La
2.0742 -5.3285 3.5310 La
2.0742 1.8655 8.0049 Ce
2.0742 1.8655 13.1808 Ce
2.0742 -1.8655 0.9430 Ce
2.0742 -1.8655 6.1189 Ce
0.0000 0.0000 0.0000 Se
0.0000 0.0000 7.0619 Se
2.0742 3.1540 1.7557 Se
2.0742 3.1540 5.3062 Se
2.0742 0.4936 10.5929 Se
2.0742 -0.4936 3.5310 Se
2.0742 -3.1540 8.8177 Se
2.0742 -3.1540 12.3681 Se
```

Results
E_form (uncorrected) = -1.8607 eV/atom
SG = Cmcm (63)
Calculated volume = 410.74 Å³/cell
N(E_F) = 29.5 states/eV per cell

---

[3]
VASP calculation (GGA-PBE) on La5CeSe6 after structural relaxation.

Structure (POSCAR):
```
La5CeSe6
1.0
3.7215 -6.4538 0.0000
3.7215 6.4538 0.0000
-2.4944 0.0000 7.0188
La Ce Se
5 1 6
Cartesian
0.0000 0.0000 0.0000 La
2.4743 4.3041 3.5094 La
3.7215 2.1799 0.0000 La
3.7215 -2.1799 0.0000 La
2.4743 -4.3041 3.5094 La
2.4743 0.0000 3.5094 Ce
1.2528 2.1249 1.7770 Se
0.0203 0.0000 5.2599 Se
1.2528 -2.1249 1.7770 Se
3.6959 2.1249 5.2419 Se
4.9283 0.0000 1.7589 Se
3.6959 -2.1249 5.2419 Se
```

Results
E_form (uncorrected) = -1.9697 eV/atom
SG = C2/m (12)
Calculated volume = 337.15 Å³/cell
N(E_F) = 12.0 states/eV per cell

---

[4]
VASP calculation (GGA-PBE) on La2Ce3Se8 after structural relaxation.

Structure (POSCAR):
```
La2Ce3Se8
1.0
7.5165 -4.2725 0.0000
7.5165 4.2725 0.0000
-2.4707 0.0000 6.7682
La Ce Se
2 3 8
Cartesian
3.1252 0.0000 1.0836 La
9.4370 0.0000 5.6846 La
6.2811 2.2264 3.3841 Ce
7.5165 0.0000 0.0000 Ce
6.2811 -2.2264 3.3841 Ce
0.6842 0.0000 2.7824 Se
5.4341 1.9549 0.5947 Se
4.3763 0.0000 3.8977 Se
7.1281 1.9549 6.1735 Se
5.4341 -1.9549 0.5947 Se
8.1860 0.0000 2.8706 Se
7.1281 -1.9549 6.1735 Se
11.8780 0.0000 3.9858 Se
```

Results
E_form (uncorrected) = -1.8117 eV/atom
SG = C2/m (12)
Calculated volume = 434.71 Å³/cell
N(E_F) = 13.3 states/eV per cell

---

[5]
VASP calculation (GGA-PBE) on La2Ce3Se8 after structural relaxation.

Structure (POSCAR):
```
La2Ce3Se8
1.0
5.1089 -7.2534 0.0000
5.1089 7.2534 0.0000
0.0000 0.0000 5.0216
La Ce Se
2 3 8
Cartesian
5.1089 3.8784 0.0000 La
5.1089 -3.8784 0.0000 La
2.2920 0.0000 2.5108 Ce
5.1089 0.0000 0.0000 Ce
7.9257 0.0000 2.5108 Ce
5.1089 5.4509 2.5108 Se
2.6733 1.7572 0.0000 Se
2.6733 -1.7572 0.0000 Se
5.1089 1.6735 2.5108 Se
5.1089 -1.6735 2.5108 Se
7.5444 1.7572 0.0000 Se
7.5444 -1.7572 0.0000 Se
5.1089 -5.4509 2.5108 Se
```

Results
E_form (uncorrected) = -1.7820 eV/atom
SG = Cmmm (65)
Calculated volume = 372.17 Å³/cell
N(E_F) = 12.4 states/eV per cell

---

[6]
VASP calculation (GGA-PBE) on La2Ce2Se5 after structural relaxation.

Structure (POSCAR):
```
La2Ce2Se5
1.0
7.4825 -4.0299 0.0000
7.4825 4.0299 0.0000
0.0000 0.0000 8.0625
La Ce Se
4 4 10
Cartesian
7.4825 2.7925 6.7976 La
7.4825 1.2373 2.7664 La
7.4825 -1.2373 5.2961 La
7.4825 -2.7925 1.2649 La
2.9603 0.0000 4.0313 Ce
4.5222 0.0000 0.0000 Ce
10.4428 0.0000 0.0000 Ce
12.0047 0.0000 4.0313 Ce
0.0000 0.0000 4.0313 Se
5.3833 2.7425 1.2339 Se
5.3833 1.2874 5.2652 Se
9.5817 2.7425 1.2339 Se
9.5817 1.2874 5.2652 Se
7.4825 0.0000 0.0000 Se
5.3833 -1.2874 2.7973 Se
5.3833 -2.7425 6.8286 Se
9.5817 -1.2874 2.7973 Se
9.5817 -2.7425 6.8286 Se
```

Results
E_form (uncorrected) = -1.8502 eV/atom
SG = Cmce (64)
Calculated volume = 486.22 Å³/cell
N(E_F) = 34.7 states/eV per cell

---

[7]
VASP calculation (GGA-PBE) on La4CeSe6 after structural relaxation.

Structure (POSCAR):
```
La4CeSe6
1.0
6.0484 3.4921 4.8529
-6.0484 3.4921 4.8529
0.0000 -6.9841 4.8529
La Ce Se
8 2 12
Cartesian
-3.7301 0.5233 6.0661 La
0.0000 0.0000 3.6397 La
-2.3183 -2.9687 8.4926 La
1.4119 -3.4921 6.0661 La
-1.4119 3.4920 8.4926 La
2.3183 2.9687 6.0661 La
0.0000 0.0000 10.9190 La
3.7301 -0.5233 8.4926 La
0.0000 0.0000 0.0000 Ce
0.0000 0.0000 7.2794 Ce
-5.1541 -1.3443 8.0270 Se
-1.4128 -5.1357 6.5318 Se
-1.4128 -1.8484 5.6005 Se
-3.7413 3.7914 6.5318 Se
-0.8943 2.1477 5.6005 Se
-2.3071 0.2993 8.9582 Se
2.3071 -0.2993 5.6005 Se
0.8943 -2.1477 8.9582 Se
3.7413 -3.7914 8.0270 Se
1.4128 1.8484 8.9582 Se
1.4128 5.1357 8.0270 Se
5.1541 1.3443 6.5318 Se
```

Results
E_form (uncorrected) = -1.8367 eV/atom
SG = R-3c (167)
Calculated volume = 615.00 Å³/cell
N(E_F) = 23.5 states/eV per cell

---

[8]
VASP calculation (GGA-PBE) on La4Ce3Se8 after structural relaxation.

Structure (POSCAR):
```
La4Ce3Se8
1.0
6.0287 -6.0316 0.0000
6.0287 6.0316 0.0000
-6.0015 0.0000 6.0324
La Ce Se
4 3 8
Cartesian
0.0000 0.0000 0.0000 La
3.0144 3.0158 0.0000 La
3.0144 -3.0158 0.0000 La
3.0280 0.0000 3.0162 La
-3.0007 0.0000 3.0162 Ce
0.0136 3.0158 3.0162 Ce
0.0136 -3.0158 3.0162 Ce
3.0280 3.0399 3.0162 Se
-2.9555 0.0000 6.0050 Se
-0.0118 0.0000 3.0488 Se
6.0287 2.9859 0.0000 Se
6.0287 -2.9859 0.0000 Se
6.0678 0.0000 2.9836 Se
9.0116 0.0000 0.0274 Se
3.0280 -3.0399 3.0162 Se
```

Results
E_form (uncorrected) = -1.9206 eV/atom
SG = C2/m (12)
Calculated volume = 438.71 Å³/cell
N(E_F) = 22.5 states/eV per cell

---

[9]
VASP calculation (GGA-PBE) on La2CeSe3 after structural relaxation.

Structure (POSCAR):
```
La2CeSe3
1.0
4.2717 0.0000 0.0000
0.0000 6.0577 0.0000
0.0000 0.0000 12.8734
La Ce Se
4 2 6
Cartesian
0.0000 0.0000 2.1636 La
0.0000 0.0000 10.7098 La
2.1359 3.0289 4.2731 La
2.1359 3.0289 8.6003 La
0.0000 0.0000 6.4367 Ce
2.1359 3.0289 0.0000 Ce
0.0000 3.0289 2.0953 Se
0.0000 3.0289 6.4367 Se
0.0000 3.0289 10.7781 Se
2.1359 0.0000 0.0000 Se
2.1359 0.0000 4.3414 Se
2.1359 0.0000 8.5320 Se
```

Results
E_form (uncorrected) = -1.9362 eV/atom
SG = Immm (71)
Calculated volume = 333.12 Å³/cell
N(E_F) = 16.6 states/eV per cell

---

[10]
VASP calculation (GGA-PBE) on LaCe2Se4 after structural relaxation.

Structure (POSCAR):
```
LaCe2Se4
1.0
-4.2727 4.2811 5.9616
4.2727 -4.2811 5.9616
4.2727 4.2811 -5.9616
La Ce Se
2 4 8
Cartesian
0.0000 0.0000 0.0000 La
0.0000 4.2811 0.0000 La
4.2727 0.0000 0.0000 Ce
-2.1364 2.1405 2.9808 Ce
0.0000 0.0000 5.9616 Ce
2.1364 2.1405 2.9808 Ce
2.1676 2.1405 -0.0182 Se
6.3778 2.1405 -0.0182 Se
4.2727 0.1006 2.9574 Se
0.0000 0.1006 3.0043 Se
4.2727 4.1805 2.9574 Se
0.0000 4.1805 3.0043 Se
-2.1051 2.1405 5.9799 Se
2.1051 2.1405 5.9799 Se
```

Results
E_form (uncorrected) = -1.8478 eV/atom
SG = Imma (74)
Calculated volume = 436.20 Å³/cell
N(E_F) = 28.9 states/eV per cell

---

[11]
VASP calculation (GGA-PBE) on LaCe3Se4 after structural relaxation.

Structure (POSCAR):
```
LaCe3Se4
1.0
8.4760 0.0000 0.0000
0.0000 11.9729 0.0000
0.0000 0.0000 4.2241
La Ce Se
2 6 8
Cartesian
0.0000 0.0000 0.0000 La
4.2380 5.9865 0.0000 La
0.0000 5.9865 0.0000 Ce
2.1190 2.9932 2.1121 Ce
2.1190 8.9797 2.1121 Ce
4.2380 0.0000 0.0000 Ce
6.3570 2.9932 2.1121 Ce
6.3570 8.9797 2.1121 Ce
0.0000 3.0217 0.0000 Se
0.0000 8.9512 0.0000 Se
2.0788 5.9865 2.1121 Se
2.1592 0.0000 2.1121 Se
4.2380 2.9648 0.0000 Se
4.2380 9.0081 0.0000 Se
6.3168 0.0000 2.1121 Se
6.3972 5.9865 2.1121 Se
```

Results
E_form (uncorrected) = -1.8605 eV/atom
SG = Cmmm (65)
Calculated volume = 428.67 Å³/cell
N(E_F) = 38.3 states/eV per cell

---

[12]
VASP calculation (GGA-PBE) on La2CeSe3 after structural relaxation.

Structure (POSCAR):
```
La2CeSe3
1.0
6.0585 0.0000 0.0000
0.0000 12.8187 0.0000
-0.0005 0.0000 8.5776
La Ce Se
8 4 12
Cartesian
1.5105 3.1734 3.2175 La
1.5103 3.2360 7.5063 La
1.5163 7.4723 7.4973 La
1.5166 11.7558 3.2084 La
4.5414 1.0629 5.3692 La
4.5417 5.3465 1.0804 La
4.5477 9.5827 1.0713 La
4.5475 9.6454 5.3601 La
1.5172 7.5002 3.2279 Ce
1.5170 11.7279 7.5167 Ce
4.5411 1.0908 1.0609 Ce
4.5408 5.3186 5.3497 Ce
1.5121 1.0392 5.4024 Se
1.5118 1.0487 1.0338 Se
1.5115 5.3607 5.3226 Se
1.5124 5.3702 1.1136 Se
1.5187 9.6074 1.0737 Se
1.5184 9.6207 5.3626 Se
4.5396 3.1981 3.2151 Se
4.5393 3.2113 7.5039 Se
4.5456 7.4486 7.4640 Se
4.5465 7.4581 3.2550 Se
4.5462 11.7700 7.5438 Se
4.5459 11.7796 3.1752 Se
```

Results
E_form (uncorrected) = -1.9362 eV/atom
SG = P2_1/c (14)
Calculated volume = 666.16 Å³/cell
N(E_F) = 33.8 states/eV per cell